The following is a PBE-GGA calculation of an optimized crystal structure of BiP3Pd, from Alexandria via LeMat-Bulk.

a = 4.7410 Å, b = 4.7410 Å, c = 4.7410 Å
α = 90.00°, β = 90.00°, γ = 90.00°
Last column: nearest neighbours and their distance in Å.
Fractional positions:
Bi (0.0000, 0.0000, 0.0000)  12 P 3.35
P (0.0000, 0.5000, 0.5000)  2 Pd 2.37
P (0.5000, 0.0000, 0.5000)  2 Pd 2.37
P (0.5000, 0.5000, 0.0000)  2 Pd 2.37
Pd (0.5000, 0.5000, 0.5000)  6 P 2.37

Properties
E_tot ... -4.422 eV/atom
Total moment ... 0.00 μB per formula unit
Formation enthalpy at 0 K ... 0.6386 eV per atom

The following is a PBE-GGA calculation of an optimized crystal structure of GdMg4Zr, from Alexandria via LeMat-Bulk.

a = 5.8997 Å, b = 5.8997 Å, c = 5.8997 Å
α = 60.00°, β = 60.00°, γ = 60.00°
Last column: nearest neighbours and their distance in Å.
Fractional positions:
Gd (0.0000, 0.0000, 0.0000)  12 Mg 3.46, 4 Zr 3.61
Mg (0.1276, 0.6241, 0.6241)  6 Mg 2.93-2.97
Mg (0.6241, 0.1276, 0.6241)  6 Mg 2.93-2.97
Mg (0.6241, 0.6241, 0.1276)  6 Mg 2.93-2.97
Mg (0.6241, 0.6241, 0.6241)  6 Mg 2.93-2.97
Zr (0.2500, 0.2500, 0.2500)  12 Mg 3.46, 4 Gd 3.61

Properties
E_tot ... -4.800 eV/atom
Total moment ... 9.38 μB per formula unit
Formation enthalpy at 0 K ... 0.0350 eV per atom

The following is a PBE-GGA calculation of an optimized crystal structure of CaSm3Ag2, from Alexandria via LeMat-Bulk.

a = 5.1271 Å, b = 9.3319 Å, c = 7.3123 Å
α = 90.00°, β = 90.00°, γ = 90.00°
Last column: nearest neighbours and their distance in Å.
Fractional positions:
Ca (0.0000, 0.0653, 0.0000)  3 Ag 3.14-3.29
Ca (0.0000, 0.9347, 0.5000)  3 Ag 3.14-3.29
Sm (0.0000, 0.3305, 0.6329)  4 Ag 3.01-3.19
Sm (0.0000, 0.6695, 0.1329)  4 Ag 3.01-3.19
Sm (0.5000, 0.1804, 0.3285)  4 Ag 3.00-3.13
Sm (0.5000, 0.4330, 0.9609)  3 Ag 3.15-3.28
Sm (0.5000, 0.5670, 0.4609)  3 Ag 3.15-3.28
Sm (0.5000, 0.8196, 0.8285)  4 Ag 3.00-3.13
Ag (0.0000, 0.3541, 0.2213)  6 Sm 3.01-3.28, 1 Ca 3.14
Ag (0.0000, 0.6459, 0.7213)  6 Sm 3.01-3.28, 1 Ca 3.14
Ag (0.5000, 0.1449, 0.7367)  5 Sm 3.00-3.19, 2 Ca 3.29
Ag (0.5000, 0.8551, 0.2367)  5 Sm 3.00-3.19, 2 Ca 3.29

Properties
E_tot ... -3.814 eV/atom
Total moment ... 0.00 μB per formula unit
Formation enthalpy at 0 K ... -0.1702 eV per atom

The following is a PBE-GGA calculation of an optimized crystal structure of FeCo2Tc, from Alexandria via LeMat-Bulk.

a = 3.5332 Å, b = 3.5332 Å, c = 3.6343 Å
α = 90.00°, β = 90.00°, γ = 90.00°
Last column: nearest neighbours and their distance in Å.
Fractional positions:
Fe (0.0000, 0.0000, 0.0000)  4 Tc 2.50, 8 Co 2.53
Co (0.0000, 0.5000, 0.5000)  4 Co 2.50, 4 Tc 2.53, 4 Fe 2.53
Co (0.5000, 0.0000, 0.5000)  4 Co 2.50, 4 Tc 2.53, 4 Fe 2.53
Tc (0.5000, 0.5000, 0.0000)  4 Fe 2.50, 8 Co 2.53

Properties
E_tot ... -8.155 eV/atom
Total moment ... 0.00 μB per formula unit
Formation enthalpy at 0 K ... 0.1054 eV per atom

The following is a PBE-GGA calculation of an optimized crystal structure of Cs2P2Au3, from Alexandria via LeMat-Bulk.

a = 14.7668 Å, b = 4.5393 Å, c = 7.6586 Å
α = 90.00°, β = 94.23°, γ = 90.00°
Last column: nearest neighbours and their distance in Å.
Fractional positions:
Cs (0.1338, 0.0000, 0.2372)  7 Au 3.66-4.08, 1 P 3.74
Cs (0.3662, 0.5000, 0.7628)  7 Au 3.66-4.08, 1 P 3.74
Cs (0.6338, 0.5000, 0.2372)  7 Au 3.66-4.08, 1 P 3.74
Cs (0.8662, 0.0000, 0.7628)  7 Au 3.66-4.08, 1 P 3.74
P (0.1123, 0.5000, 0.7321)  3 Au 2.32-2.34
P (0.3877, 0.0000, 0.2679)  3 Au 2.32-2.34
P (0.6123, 0.0000, 0.7321)  3 Au 2.32-2.34
P (0.8877, 0.5000, 0.2679)  3 Au 2.32-2.34
Au (0.0000, 0.5000, 0.5000)  2 P 2.34
Au (0.1427, 0.0000, 0.7613)  2 P 2.32
Au (0.3573, 0.5000, 0.2387)  2 P 2.32
Au (0.5000, 0.0000, 0.5000)  2 P 2.34
Au (0.6427, 0.5000, 0.7613)  2 P 2.32
Au (0.8573, 0.0000, 0.2387)  2 P 2.32

Properties
E_tot ... -3.548 eV/atom
Total moment ... 0.00 μB per formula unit
Formation enthalpy at 0 K ... -0.3542 eV per atom

The following is a PBE-GGA calculation of an optimized crystal structure of MnFe5Si, from Alexandria via LeMat-Bulk.

a = 4.8682 Å, b = 7.2210 Å, c = 4.9795 Å
α = 90.00°, β = 90.00°, γ = 90.00°
Last column: nearest neighbours and their distance in Å.
Fractional positions:
Mn (0.0000, 0.0000, 0.0000)  10 Fe 2.49-2.50
Mn (0.5000, 0.5000, 0.0000)  10 Fe 2.49-2.50
Fe (0.0000, 0.0000, 0.5000)  2 Si 2.43, 2 Mn 2.49, 8 Fe 2.52
Fe (0.2500, 0.2500, 0.2468)  6 Fe 2.43-2.52, 2 Mn 2.50, 2 Si 2.52
Fe (0.2500, 0.2500, 0.7532)  6 Fe 2.43-2.52, 2 Mn 2.50, 2 Si 2.52
Fe (0.2500, 0.7500, 0.2468)  6 Fe 2.43-2.52, 2 Mn 2.50, 2 Si 2.52
Fe (0.2500, 0.7500, 0.7532)  6 Fe 2.43-2.52, 2 Mn 2.50, 2 Si 2.52
Fe (0.5000, 0.5000, 0.5000)  2 Si 2.43, 2 Mn 2.49, 8 Fe 2.52
Fe (0.7500, 0.2500, 0.2468)  6 Fe 2.43-2.52, 2 Mn 2.50, 2 Si 2.52
Fe (0.7500, 0.2500, 0.7532)  6 Fe 2.43-2.52, 2 Mn 2.50, 2 Si 2.52
Fe (0.7500, 0.7500, 0.2468)  6 Fe 2.43-2.52, 2 Mn 2.50, 2 Si 2.52
Fe (0.7500, 0.7500, 0.7532)  6 Fe 2.43-2.52, 2 Mn 2.50, 2 Si 2.52
Si (0.0000, 0.5000, 0.5000)  10 Fe 2.43-2.52
Si (0.5000, 0.0000, 0.5000)  10 Fe 2.43-2.52

Properties
E_tot ... -8.013 eV/atom
Formation energy without anion corrections ... 116 meV per atom
Total moment ... 7.61 μB per formula unit

The following is a PBE-GGA calculation of an optimized crystal structure of Ba2GaPd2, from Alexandria via LeMat-Bulk.

a = 7.7650 Å, b = 7.7650 Å, c = 4.6233 Å
α = 90.00°, β = 90.00°, γ = 90.00°
Last column: nearest neighbours and their distance in Å.
Fractional positions:
Ba (0.1773, 0.3227, 0.0000)  6 Pd 3.14-3.34
Ba (0.3227, 0.8227, 0.0000)  6 Pd 3.14-3.34
Ba (0.6773, 0.1773, 0.0000)  6 Pd 3.14-3.34
Ba (0.8227, 0.6773, 0.0000)  6 Pd 3.14-3.34
Ga (0.0000, 0.0000, 0.5000)  4 Pd 3.05
Ga (0.5000, 0.5000, 0.5000)  4 Pd 3.05
Pd (0.1291, 0.6291, 0.5000)  1 Pd 2.83, 2 Ga 3.05, 2 Ba 3.14
Pd (0.3709, 0.1291, 0.5000)  1 Pd 2.83, 2 Ga 3.05, 2 Ba 3.14
Pd (0.6291, 0.8709, 0.5000)  1 Pd 2.83, 2 Ga 3.05, 2 Ba 3.14
Pd (0.8709, 0.3709, 0.5000)  1 Pd 2.83, 2 Ga 3.05, 2 Ba 3.14

Properties
E_tot ... -3.893 eV/atom
Total moment ... 0.00 μB per formula unit
Formation enthalpy at 0 K ... -0.4416 eV per atom